Entry 1:
This record from Alexandria via LeMat-Bulk describes a relaxed structure of AcDy3Ag2. The functional is PBE-GGA.

The structure in POSCAR format:
```
AcDy3Ag2
1.0
3.678 0.000 0.000
0.000 3.678 0.000
0.000 0.000 12.665
Dy Ag Ac
3 2 1
Direct
0.000 0.000 0.282
0.000 0.000 0.718
0.000 0.000 0.000
0.500 0.500 0.143
0.500 0.500 0.857
0.500 0.500 0.500
```

crystal system	tetragonal


Entry 2:
This record from Alexandria via LeMat-Bulk describes a relaxed structure of AcDy3Ag4. The functional is PBE-GGA.

The structure in POSCAR format:
```
AcDy3Ag4
1.0
5.264 0.000 0.000
0.000 7.441 0.000
0.000 0.000 10.526
Ag Ac Dy
8 2 6
Direct
0.001 0.773 0.750
0.500 0.773 0.500
0.500 0.227 0.000
0.500 0.773 0.000
0.999 0.773 0.250
0.999 0.227 0.250
0.001 0.227 0.750
0.500 0.227 0.500
0.000 0.500 0.000
0.000 0.500 0.500
0.500 0.500 0.750
0.500 0.000 0.750
0.500 0.000 0.250
0.500 0.500 0.250
0.000 0.000 0.500
0.000 0.000 0.000
```

crystal system	tetragonal


Entry 3:
This record from Alexandria via LeMat-Bulk describes a relaxed structure of Ac12Dy5Ag3. The functional is PBE-GGA.

The structure in POSCAR format:
```
Ac12Dy5Ag3
1.0
-7.705 6.326 13.644
-11.208 -8.498 -9.366
12.363 -10.450 4.850
Ac Ag Dy
48 12 20
Direct
0.557 0.629 0.395
0.871 0.266 0.427
0.734 0.605 0.161
0.395 0.266 0.339
0.629 0.557 0.895
0.871 0.605 0.943
0.105 0.943 0.371
0.839 0.895 0.266
0.234 0.573 0.629
0.927 0.371 0.266
0.839 0.943 0.073
0.427 0.661 0.057
0.073 0.629 0.734
0.943 0.105 0.871
0.895 0.839 0.766
0.339 0.766 0.395
0.057 0.895 0.129
0.605 0.871 0.443
0.661 0.427 0.557
0.161 0.057 0.927
0.766 0.427 0.371
0.943 0.839 0.573
0.573 0.339 0.943
0.371 0.443 0.105
0.234 0.661 0.105
0.129 0.395 0.057
0.766 0.339 0.895
0.266 0.871 0.927
0.129 0.734 0.573
0.443 0.073 0.339
0.427 0.766 0.871
0.605 0.734 0.661
0.927 0.557 0.161
0.105 0.161 0.234
0.371 0.927 0.766
0.057 0.161 0.427
0.266 0.395 0.839
0.073 0.443 0.839
0.557 0.927 0.661
0.161 0.105 0.734
0.895 0.057 0.629
0.573 0.234 0.129
0.395 0.129 0.557
0.443 0.371 0.605
0.629 0.073 0.234
0.661 0.234 0.605
0.339 0.573 0.443
0.734 0.129 0.073
0.125 0.875 0.750
0.375 0.750 0.625
0.125 0.250 0.875
0.750 0.875 0.625
0.875 0.750 0.125
0.250 0.125 0.375
0.375 0.625 0.250
0.875 0.125 0.250
0.750 0.375 0.125
0.625 0.375 0.750
0.625 0.250 0.375
0.250 0.625 0.875
0.625 0.875 0.250
0.750 0.125 0.875
0.375 0.125 0.750
0.875 0.625 0.750
0.875 0.250 0.625
0.125 0.750 0.375
0.250 0.875 0.125
0.500 0.500 0.500
0.500 0.000 0.500
0.500 0.000 0.000
0.750 0.625 0.375
0.000 0.000 0.500
0.250 0.375 0.625
0.000 0.000 0.000
0.375 0.250 0.125
0.000 0.500 0.000
0.125 0.375 0.250
0.625 0.750 0.875
0.500 0.500 0.000
0.000 0.500 0.500
```

crystal system	cubic


Entry 4:
This record from Alexandria via LeMat-Bulk describes a relaxed structure of AcDyAg. The functional is PBE-GGA.

The structure in POSCAR format:
```
AcDyAg
1.0
4.093 0.000 0.000
0.000 5.189 0.000
0.000 -2.594 4.494
Ac Ag Dy
1 1 1
Direct
0.000 0.000 0.000
0.500 0.333 0.667
0.500 0.667 0.333
```

crystal system	hexagonal


Entry 5:
This record from Alexandria via LeMat-Bulk describes a relaxed structure of AcDyAg2. The functional is PBE-GGA.

The structure in POSCAR format:
```
AcDyAg2
1.0
-0.149 3.767 0.043
-3.754 -0.144 -0.319
-0.646 -0.112 7.643
Ag Dy Ac
2 1 1
Direct
0.000 0.000 0.787
0.000 0.000 0.213
0.500 0.500 0.000
0.500 0.500 0.500
```

crystal system	tetragonal


Entry 6:
This record from Alexandria via LeMat-Bulk describes a relaxed structure of Ac4DyAg5. The functional is PBE-GGA.

The structure in POSCAR format:
```
Ac4DyAg5
1.0
-0.633 3.578 1.351
-3.718 -0.896 0.631
4.547 -6.064 18.182
Ag Dy Ac
5 1 4
Direct
0.500 0.500 0.294
0.500 0.500 0.706
0.500 0.500 0.919
0.500 0.500 0.081
0.500 0.500 0.500
0.000 0.000 0.000
0.000 0.000 0.809
0.000 0.000 0.191
0.000 0.000 0.603
0.000 0.000 0.397
```

crystal system	tetragonal


Entry 7:
This record from Alexandria via LeMat-Bulk describes a relaxed structure of AcDyGaAg. The functional is PBE-GGA.

The structure in POSCAR format:
```
AcDyGaAg
1.0
-4.341 2.592 -1.816
-4.052 -2.758 -2.197
-4.676 -0.438 2.607
Dy Ac Ag Ga
1 1 1 1
Direct
0.000 0.000 0.000
0.500 0.500 0.500
0.250 0.250 0.250
0.750 0.750 0.750
```

crystal system	cubic


Entry 8:
This record from Alexandria via LeMat-Bulk describes a relaxed structure of AcGdDyAg. The functional is PBE-GGA.

The structure in POSCAR format:
```
AcGdDyAg
1.0
-0.984 2.818 -4.690
-5.095 0.003 -2.224
-3.086 4.622 0.130
Ac Ag Dy Gd
1 1 1 1
Direct
0.500 0.500 0.500
0.000 0.000 0.000
0.250 0.250 0.250
0.750 0.750 0.750
```

crystal system	cubic


no.,calculated volume (A^3/atom),M_tot (μB per formula unit),energy of formation (eV/f.u.)
1,28.6,0.00,-1.1
2,25.8,0.00,-2.2
3,46.4,0.00,15.6
4,31.8,0.00,-0.1
5,27.3,0.00,-1.1
6,29.6,0.00,-2.6
7,27.4,0.00,-1.4
8,30.4,8.31,0.7